No. 1
## La4Nd11Tm9 (PBE)

Data for an optimized crystal structure of La4Nd11Tm9.

Output
The calculated density comes out at 7.50 g/cm3. The formation energy comes out at 0.07 eV per atom.

abc: 3.735 15.347 15.347
angles: 112.79 90.00 90.00
Atoms (fractional coordinates):
La (0.500, 0.554, 0.755)
La (0.500, 0.446, 0.245)
La (0.500, 0.755, 0.554)
La (0.500, 0.245, 0.446)
Nd (0.000, 0.594, 0.956)
Nd (0.000, 0.406, 0.044)
Nd (0.000, 0.956, 0.594)
Nd (0.000, 0.044, 0.406)
Nd (0.000, 0.635, 0.365)
Nd (0.000, 0.365, 0.635)
Nd (0.000, 0.841, 0.159)
Nd (0.000, 0.159, 0.841)
Nd (0.000, 0.000, 0.000)
Nd (0.000, 0.712, 0.712)
Nd (0.000, 0.288, 0.288)
Tm (0.500, 0.636, 0.163)
Tm (0.500, 0.364, 0.837)
Tm (0.500, 0.163, 0.636)
Tm (0.500, 0.837, 0.364)
Tm (0.500, 0.790, 0.935)
Tm (0.500, 0.210, 0.065)
Tm (0.500, 0.935, 0.790)
Tm (0.500, 0.065, 0.210)
Tm (0.500, 0.500, 0.500)



No. 2
## Pt4SeS3 (PBE)

Data for an optimized crystal structure of Pt4SeS3.

Output
The calculated density comes out at 10.00 g/cm3. The energy relative to the elements, uncorrected comes out at -0.381 eV per atom.

abc: 3.575 3.575 12.420
angles: 90.00 90.00 90.00
Atoms (fractional coordinates):
Pt (0.500, 0.000, 0.867)
Pt (0.500, 0.000, 0.378)
Pt (0.000, 0.500, 0.622)
Pt (0.000, 0.500, 0.133)
Se (0.000, 0.000, 0.000)
S (0.000, 0.000, 0.500)
S (0.000, 0.000, 0.744)
S (0.000, 0.000, 0.256)